First-principles (PBE) data for crystalline ZrW4 at its relaxed geometry, as listed in Alexandria.

Summary:
- M_tot: 0.00 μB per cell
- Relative energy among the computed polymorphs: 593 meV/atom
- Final energy: -57.17 eV/cell
- Calculated density: 13.879 g cm⁻³
- Formation energy from the elements: 0.64 eV per atom
- Space group: No. 139

The structure in POSCAR format:
```
ZrW4
1.0
-0.307 -5.615 2.912
-5.197 -3.614 0.180
3.603 3.266 -4.056
W Zr
4 1
direct
0.750 0.250 0.500
0.250 0.750 0.500
0.616 0.616 0.000
0.384 0.384 0.000
0.000 0.000 0.000
```


First-principles (PBE) data for crystalline AcPm3O at its relaxed geometry, as listed in Alexandria.

Summary:
- M_tot: 0.00 μB per cell
- Final energy: -28.35 eV/cell
- Calculated density: 8.190 g cm⁻³
- Space group: No. 221

The structure in POSCAR format:
```
AcPm3O
1.0
-2.943 0.525 -4.207
-0.758 -5.104 -0.107
-4.171 0.556 2.987
O Pm Ac
1 3 1
direct
0.000 0.000 0.000
0.500 0.000 0.000
0.000 0.500 0.000
0.000 0.000 0.500
0.500 0.500 0.500
```


First-principles (PBE) data for crystalline Cs2Tl2S at its relaxed geometry, as listed in Alexandria.

Summary:
- M_tot: 0.00 μB per cell
- Relative energy among the computed polymorphs: 463 meV/atom
- Final energy: -9.36 eV/cell
- Calculated density: 4.927 g cm⁻³
- Space group: No. 139

The structure in POSCAR format:
```
Cs2Tl2S
1.0
-4.501 -1.496 -2.777
3.154 -2.158 -3.950
-0.695 -8.753 0.403
Cs Tl S
2 2 1
direct
0.250 0.750 0.500
0.750 0.250 0.500
0.589 0.589 0.823
0.411 0.411 0.177
0.000 0.000 0.000
```